# Th2C | the Alexandria database | PBE | relaxed
data_Th2C
_chemical_formula_sum 'Th2 C1'
_symmetry_space_group_name_H-M 'P 1'
_symmetry_Int_Tables_number 1
_cell_length_a 3.668
_cell_length_b 3.668
_cell_length_c 7.641
_cell_angle_alpha 118.81
_cell_angle_beta 118.81
_cell_angle_gamma 59.92
loop_
_symmetry_equiv_pos_as_xyz
'x,y,z'
loop_
_atom_site_label
_atom_site_type_symbol
_atom_site_fract_x
_atom_site_fract_y
_atom_site_fract_z
C1 C 0.500 0.500 0.000
Th1 Th 0.986 0.986 0.230
Th2 Th 0.014 0.014 0.770
# Calculated volume, A^3/atom: 24.65
# SG: C2/m, No. 12
# Energy of formation from the pure elements, eV/atom: -0.204
# Crystal system: monoclinic
# Magnetic moment, μB per formula unit: 0.00